1.
{"formula": "TiFeH2", "functional": "GGA-PBE", "state": "relaxed", "cell": [[-1.545, -3.262, -2.215], [5.135, -1.437, -1.464], [0.368, -3.152, 4.384]], "species": ["Ti", "Ti", "Ti", "Ti", "Fe", "Fe", "Fe", "Fe", "H", "H", "H", "H", "H", "H", "H", "H"], "fractional_positions": [[0.986, 0.662, 0.374], [0.486, 0.338, 0.626], [0.486, 0.838, 0.874], [0.986, 0.162, 0.126], [0.969, 0.541, 0.814], [0.469, 0.959, 0.314], [0.969, 0.041, 0.686], [0.469, 0.459, 0.186], [0.481, 0.160, 0.083], [0.481, 0.660, 0.417], [0.981, 0.840, 0.917], [0.981, 0.340, 0.583], [0.837, 0.487, 0.097], [0.337, 0.513, 0.903], [0.337, 0.013, 0.597], [0.837, 0.987, 0.403]], "de_polymorph_mev_per_atom": 33}

***

2.
{"formula": "PrTl2Te2O6", "functional": "GGA-PBE", "state": "relaxed", "cell": [[-1.553, 2.222, 6.564], [-4.052, -0.305, -4.698], [1.007, -6.363, 2.392]], "species": ["Pr", "Tl", "Tl", "Te", "Te", "O", "O", "O", "O", "O", "O"], "fractional_positions": [[0.500, 0.000, 0.500], [0.685, 0.370, 0.119], [0.315, 0.630, 0.881], [0.944, 0.888, 0.761], [0.056, 0.112, 0.239], [0.750, 0.501, 0.719], [0.328, 0.089, 0.265], [0.239, 0.911, 0.735], [0.672, 0.911, 0.735], [0.761, 0.089, 0.265], [0.250, 0.499, 0.281]], "raw_formation_energy_ev_per_atom": -1.305}

***

3.
{"formula": "Sr3LiBr7", "functional": "GGA-PBE", "state": "relaxed", "cell": [[-6.327, -3.848, -5.057], [-1.491, -2.733, 8.409], [-5.872, 7.725, 1.469]], "species": ["Sr", "Sr", "Sr", "Sr", "Sr", "Sr", "Li", "Li", "Br", "Br", "Br", "Br", "Br", "Br", "Br", "Br", "Br", "Br", "Br", "Br", "Br", "Br"], "fractional_positions": [[0.468, 0.468, 0.500], [0.532, 0.532, 0.000], [0.560, 0.001, 0.254], [0.440, 0.999, 0.754], [0.001, 0.560, 0.746], [0.999, 0.440, 0.246], [0.960, 0.960, 0.500], [0.040, 0.040, 0.000], [0.656, 0.905, 0.539], [0.344, 0.095, 0.039], [0.905, 0.656, 0.461], [0.095, 0.344, 0.961], [0.102, 0.350, 0.531], [0.898, 0.650, 0.031], [0.350, 0.102, 0.469], [0.650, 0.898, 0.969], [0.364, 0.636, 0.250], [0.636, 0.364, 0.750], [0.638, 0.362, 0.250], [0.362, 0.638, 0.750], [0.925, 0.075, 0.250], [0.075, 0.925, 0.750]], "raw_formation_energy_ev_per_atom": -1.970}

***

4.
{"formula": "TaAgTe2", "functional": "GGA-PBE", "state": "relaxed", "cell": [[-0.378, -2.347, 7.278], [4.577, -1.367, 5.984], [-2.524, 4.296, -5.814]], "species": ["Te", "Te", "Ag", "Ta"], "fractional_positions": [[0.942, 0.942, 0.000], [0.212, 0.712, 0.500], [0.549, 0.549, 0.000], [0.796, 0.296, 0.500]], "raw_formation_energy_ev_per_atom": 0.106}

***

5.
{"formula": "ScSiCl", "functional": "GGA-PBE", "state": "relaxed", "cell": [[-1.610, 3.077, 1.094], [-2.327, -0.060, 2.801], [8.340, 4.055, 6.927]], "species": ["Sc", "Sc", "Si", "Si", "Cl", "Cl"], "fractional_positions": [[0.806, 0.093, 0.295], [0.194, 0.907, 0.705], [0.634, 0.184, 0.548], [0.366, 0.816, 0.452], [0.232, 0.377, 0.159], [0.768, 0.623, 0.841]], "raw_formation_energy_ev_per_atom": -1.262}

***

6.
{"formula": "La2Ge3AsPd4", "functional": "GGA-PBE", "state": "relaxed", "cell": [[-3.278, -1.870, 2.372], [2.644, -3.468, 0.921], [3.281, 4.688, 8.230]], "species": ["La", "La", "Ge", "Ge", "Ge", "As", "Pd", "Pd", "Pd", "Pd"], "fractional_positions": [[0.500, 0.000, 0.253], [0.000, 0.500, 0.747], [0.000, 0.000, 0.500], [0.500, 0.000, 0.874], [0.000, 0.500, 0.126], [0.500, 0.500, 0.500], [0.500, 0.500, 0.000], [0.000, 0.000, 0.000], [0.500, 0.000, 0.625], [0.000, 0.500, 0.375]], "e_form_ev_per_atom": -0.8689}

***

7.
{"formula": "ZrAg2F2", "functional": "GGA-PBE", "state": "relaxed", "cell": [[-1.695, 2.031, -2.330], [0.380, -2.500, -2.455], [-6.870, -3.134, -0.400]], "species": ["Zr", "Ag", "Ag", "F", "F"], "fractional_positions": [[0.000, 0.000, 0.000], [0.750, 0.250, 0.500], [0.250, 0.750, 0.500], [0.421, 0.421, 0.159], [0.579, 0.579, 0.841]], "raw_formation_energy_ev_per_atom": -0.650, "de_polymorph_mev_per_atom": 775}

***

8.
{"formula": "VSiS", "functional": "GGA-PBE", "state": "relaxed", "cell": [[-3.694, -2.729, -5.611], [-1.210, -2.185, 1.859], [-3.532, 6.225, 5.014]], "species": ["S", "S", "S", "S", "Si", "Si", "Si", "Si", "V", "V", "V", "V"], "fractional_positions": [[0.753, 0.000, 0.828], [0.753, 0.500, 0.328], [0.196, 0.000, 0.583], [0.196, 0.500, 0.083], [0.805, 0.000, 0.107], [0.805, 0.500, 0.607], [0.411, 0.000, 0.393], [0.411, 0.500, 0.893], [0.092, 0.000, 0.829], [0.092, 0.500, 0.329], [0.483, 0.000, 0.141], [0.483, 0.500, 0.641]], "raw_formation_energy_ev_per_atom": -0.463}

***

9.
{"formula": "LaMgMo3", "functional": "GGA-PBE", "state": "relaxed", "cell": [[-2.082, 4.337, 0.441], [-4.185, -2.126, 1.142], [1.219, 0.110, 4.673]], "species": ["Mo", "Mo", "Mo", "Mg", "La"], "fractional_positions": [[0.000, 0.500, 0.000], [0.000, 0.000, 0.500], [0.500, 0.000, 0.000], [0.500, 0.500, 0.500], [0.000, 0.000, 0.000]], "de_polymorph_mev_per_atom": 299, "e_form_ev_per_atom": 2.0351}

***

10.
{"formula": "BiS4Br", "functional": "GGA-PBE", "state": "relaxed", "cell": [[-2.718, 0.394, -3.090], [-4.963, -2.870, 3.965], [-6.667, 10.848, 5.794]], "species": ["Bi", "Bi", "S", "S", "S", "S", "S", "S", "S", "S", "Br", "Br"], "fractional_positions": [[0.069, 0.794, 0.334], [0.931, 0.206, 0.666], [0.542, 0.522, 0.424], [0.151, 0.537, 0.099], [0.853, 0.952, 0.566], [0.809, 0.685, 0.033], [0.458, 0.478, 0.576], [0.147, 0.048, 0.434], [0.849, 0.463, 0.901], [0.191, 0.315, 0.967], [0.574, 0.037, 0.206], [0.426, 0.963, 0.794]], "raw_formation_energy_ev_per_atom": -0.088}

***

11.
{"formula": "RbReAs2O8", "functional": "GGA-PBE", "state": "relaxed", "cell": [[-1.719, -2.155, 4.236], [2.839, -3.396, 2.439], [4.175, 4.900, 7.201]], "species": ["Rb", "Re", "As", "As", "O", "O", "O", "O", "O", "O", "O", "O"], "fractional_positions": [[0.500, 0.500, 0.500], [0.000, 0.000, 0.000], [0.268, 0.268, 0.195], [0.732, 0.732, 0.805], [0.208, 0.208, 0.376], [0.631, 0.257, 0.126], [0.792, 0.792, 0.624], [0.985, 0.631, 0.126], [0.015, 0.369, 0.874], [0.257, 0.985, 0.126], [0.743, 0.015, 0.874], [0.369, 0.743, 0.874]], "raw_formation_energy_ev_per_atom": -1.337}

***

12.
{"formula": "InMo4Br", "functional": "GGA-PBE", "state": "relaxed", "cell": [[0.000, 3.807, 3.807], [3.807, 0.000, 3.807], [3.807, 3.807, 0.000]], "species": ["In", "Mo", "Mo", "Mo", "Mo", "Br"], "fractional_positions": [[0.000, 0.000, 0.000], [0.865, 0.378, 0.378], [0.378, 0.378, 0.865], [0.378, 0.865, 0.378], [0.378, 0.378, 0.378], [0.750, 0.750, 0.750]], "raw_formation_energy_ev_per_atom": 0.786}

***

Number 1: D(E_F) 0.16 states/eV/cell. Number 2: D(E_F) 2.77 states/eV/cell. Number 3: D(E_F) 0.00 states/eV/cell. Number 4: D(E_F) 1.60 states/eV/cell. Number 5: D(E_F) 1.54 states/eV/cell. Number 6: D(E_F) 6.54 states/eV/cell. Number 7: D(E_F) 2.58 states/eV/cell. Number 8: D(E_F) 1.94 states/eV/cell. Number 9: D(E_F) 9.89 states/eV/cell. Number 10: D(E_F) 0.86 states/eV/cell. Number 11: D(E_F) 3.16 states/eV/cell. Number 12: D(E_F) 4.46 states/eV/cell.